# 1
VASP calculation (meta-GGA SCAN) on a PBEsol-optimized structure of CaIrBr2.

Size of the total moment: 0.258 μB per atom
SG: P4mm (99)
Raw formation energy: -283 meV/atom

a b c (Å): 3.7939 3.7939 6.1722
angles (deg): 90.00 90.00 90.00
With the nearest neighbours (Å) after each atom.
Element x y z (fractional)
Ca  0.0000  0.0000  0.4941  5 Br 2.75-2.86, 4 Ir 3.06
Ir  0.5000  0.5000  0.7341  1 Br 2.48
Br  0.0000  0.0000  0.9395  1 Ca 2.75, 4 Ir 2.97
Br  0.5000  0.5000  0.3323  1 Ir 2.48

=====

# 2
VASP calculation (meta-GGA SCAN) on a PBEsol-optimized structure of CaIrBr2.

Size of the total moment: 0.270 μB per atom
SG: Cmmm (65)
Raw formation energy: 25 meV/atom

a b c (Å): 3.7849 3.7849 6.8344
angles (deg): 90.00 90.00 112.74
With the nearest neighbours (Å) after each atom.
Element x y z (fractional)
Ca  0.5000  0.5000  0.5000  4 Br 2.80
Ir  0.5000  0.5000  0.0000  4 Br 2.61
Br  0.0000  0.0000  0.2276  2 Ir 2.61, 2 Ca 2.80
Br  0.0000  0.0000  0.7724  2 Ir 2.61, 2 Ca 2.80

=====

# 3
VASP calculation (meta-GGA SCAN) on a PBEsol-optimized structure of CaIrBr2.

Size of the total moment: 0.000 μB per atom
SG: Amm2 (38)
Raw formation energy: -608 meV/atom

a b c (Å): 3.7735 4.1112 6.9079
angles (deg): 107.32 90.00 90.00
With the nearest neighbours (Å) after each atom.
Element x y z (fractional)
Ca  0.0000  0.4619  0.5487  4 Ir 2.96, 6 Br 3.16-3.25
Ir  0.5000  0.0361  0.6970  3 Br 2.43-2.46
Br  0.0000  0.1526  0.9301  2 Ir 2.43
Br  0.5000  0.8494  0.3241  1 Ir 2.46

=====

# 4
VASP calculation (meta-GGA SCAN) on a PBEsol-optimized structure of CaIrBr2.

Size of the total moment: 0.032 μB per atom
SG: Fmmm (69)
Raw formation energy: -295 meV/atom

a b c (Å): 4.8183 4.8183 5.2514
angles (deg): 115.61 115.61 93.32
With the nearest neighbours (Å) after each atom.
Element x y z (fractional)
Ca  0.5000  0.5000  0.0000  4 Br 2.69
Ir  0.0000  0.0000  0.0000  4 Br 2.69
Br  0.5000  0.0000  0.5000  2 Ca 2.69, 2 Ir 2.69
Br  0.0000  0.5000  0.5000  2 Ir 2.69, 2 Ca 2.69

=====

# 5
VASP calculation (meta-GGA SCAN) on a PBEsol-optimized structure of CaIrSeBr2.

Size of the total moment: 0.053 μB per atom
SG: P4/mmm (123)
Raw formation energy: -192 meV/atom

a b c (Å): 4.7726 4.7726 5.9393
angles (deg): 90.00 90.00 90.00
With the nearest neighbours (Å) after each atom.
Element x y z (fractional)
Ca  0.0000  0.0000  0.5000  2 Ir 2.97
Ir  0.0000  0.0000  0.0000  4 Br 2.39
Se  0.5000  0.5000  0.5000  4 Ca 3.37
Br  0.0000  0.5000  0.0000  2 Ir 2.39
Br  0.5000  0.0000  0.0000  2 Ir 2.39

=====

# 6
VASP calculation (meta-GGA SCAN) on a PBEsol-optimized structure of KCa2Br.

Size of the total moment: 0.036 μB per atom
SG: Cmm2 (35)
Raw formation energy: -750 meV/atom

a b c (Å): 3.8748 3.8748 11.0136
angles (deg): 90.00 90.00 112.26
With the nearest neighbours (Å) after each atom.
Element x y z (fractional)
Br  0.5000  0.5000  0.2311  2 Ca 2.99, 2 K 3.26
Ca  0.0000  0.0000  0.0434  2 Br 2.99
Ca  0.5000  0.5000  0.7732  6 Ca 3.68-3.87
K  0.0000  0.0000  0.4522  2 Br 3.26

=====

# 7
VASP calculation (meta-GGA SCAN) on a PBEsol-optimized structure of KCa2Br.

Size of the total moment: 0.002 μB per atom
SG: Immm (71)
Raw formation energy: -685 meV/atom

a b c (Å): 3.8062 6.3066 7.3393
angles (deg): 115.45 105.03 90.00
With the nearest neighbours (Å) after each atom.
Element x y z (fractional)
Br  0.0000  0.5000  0.0000  4 Ca 3.15
Ca  0.6974  0.6974  0.3948  2 Br 3.15
Ca  0.3026  0.3026  0.6052  2 Br 3.15
K  0.5000  0.0000  0.0000  4 Br 3.68, 2 K 3.81, 4 Ca 4.03

=====

# 8
VASP calculation (meta-GGA SCAN) on a PBEsol-optimized structure of KCaBr3.

Size of the total moment: 0.000 μB per atom
SG: Cmcm (63)
Raw formation energy: -2160 meV/atom

a b c (Å): 4.2071 7.2837 10.6673
angles (deg): 90.00 90.00 106.79
With the nearest neighbours (Å) after each atom.
Element x y z (fractional)
Ca  0.0000  0.0000  0.5000  6 Br 2.84-2.89
Ca  0.0000  0.0000  0.0000  6 Br 2.84-2.89
K  0.2528  0.5057  0.2500  8 Br 3.24-3.61
K  0.7472  0.4943  0.7500  8 Br 3.24-3.61
Br  0.3644  0.7287  0.5552  2 Ca 2.89
Br  0.6356  0.2713  0.0552  2 Ca 2.89
Br  0.3644  0.7287  0.9448  2 Ca 2.89
Br  0.6356  0.2713  0.4448  2 Ca 2.89
Br  0.9291  0.8582  0.2500  2 Ca 2.84
Br  0.0709  0.1418  0.7500  2 Ca 2.84

=====

# 9
VASP calculation (meta-GGA SCAN) on a PBEsol-optimized structure of KCaBr3.

Size of the total moment: 0.000 μB per atom
SG: Pnma (62)
Raw formation energy: -2154 meV/atom

a b c (Å): 7.5249 7.9545 10.8240
angles (deg): 90.00 90.00 90.00
With the nearest neighbours (Å) after each atom.
Element x y z (fractional)
K  0.0279  0.4202  0.2500  6 Br 3.25-3.46
K  0.9721  0.5798  0.7500  6 Br 3.25-3.46
K  0.5279  0.0798  0.7500  6 Br 3.25-3.46
K  0.4721  0.9202  0.2500  6 Br 3.25-3.46
Ca  0.0000  0.0000  0.0000  6 Br 2.85-2.87
Ca  0.5000  0.5000  0.0000  6 Br 2.85-2.87
Ca  0.0000  0.0000  0.5000  6 Br 2.85-2.87
Ca  0.5000  0.5000  0.5000  6 Br 2.85-2.87
Br  0.3081  0.1974  0.0570  2 Ca 2.87
Br  0.6919  0.8026  0.9430  2 Ca 2.87
Br  0.8081  0.3026  0.9430  2 Ca 2.87
Br  0.6919  0.8026  0.5570  2 Ca 2.87
Br  0.1919  0.6974  0.0570  2 Ca 2.87
Br  0.3081  0.1974  0.4430  2 Ca 2.87
Br  0.1919  0.6974  0.4430  2 Ca 2.87
Br  0.8081  0.3026  0.5570  2 Ca 2.87
Br  0.6128  0.5316  0.2500  2 Ca 2.85
Br  0.3872  0.4684  0.7500  2 Ca 2.85
Br  0.1128  0.9684  0.7500  2 Ca 2.85
Br  0.8872  0.0316  0.2500  2 Ca 2.85

=====

# 10
VASP calculation (meta-GGA SCAN) on a PBEsol-optimized structure of CaLa3Br.

Size of the total moment: 0.000 μB per atom
SG: Pm-3m (221)
Raw formation energy: 531 meV/atom

a b c (Å): 5.7875 5.7875 5.7875
angles (deg): 90.00 90.00 90.00
With the nearest neighbours (Å) after each atom.
Element x y z (fractional)
Ca  0.0000  0.0000  0.0000  6 La 2.89
Br  0.5000  0.5000  0.5000  12 La 4.09
La  0.0000  0.5000  0.0000  2 Ca 2.89
La  0.0000  0.0000  0.5000  2 Ca 2.89
La  0.5000  0.0000  0.0000  2 Ca 2.89

=====

# 11
VASP calculation (meta-GGA SCAN) on a PBEsol-optimized structure of Ca2LaBr.

Size of the total moment: 0.011 μB per atom
SG: R-3m (166)
Raw formation energy: -766 meV/atom

a b c (Å): 3.7791 3.7791 10.6890
angles (deg): 79.82 79.82 60.00
With the nearest neighbours (Å) after each atom.
Element x y z (fractional)
Ca  0.2630  0.2630  0.2110  3 Br 3.10
Ca  0.7370  0.7370  0.7890  3 Br 3.10
Br  0.0000  0.0000  0.0000  6 Ca 3.10
La  0.5000  0.5000  0.5000  6 Ca 3.73, 6 La 3.78

=====

# 12
VASP calculation (meta-GGA SCAN) on a PBEsol-optimized structure of Ca2LaBr.

Size of the total moment: 0.325 μB per atom
SG: P4mm (99)
Raw formation energy: -591 meV/atom

a b c (Å): 3.6185 3.6185 10.0352
angles (deg): 90.00 90.00 90.00
With the nearest neighbours (Å) after each atom.
Element x y z (fractional)
Ca  0.0000  0.0000  0.9574  4 Br 3.32, 4 Ca 3.62
Ca  0.5000  0.5000  0.2492  8 Ca 3.62-3.89, 4 La 3.93
Br  0.5000  0.5000  0.7472  4 La 3.26, 4 Ca 3.32, 4 Br 3.62
La  0.0000  0.0000  0.5462  4 Br 3.26, 4 La 3.62

=====

# 13
VASP calculation (meta-GGA SCAN) on a PBEsol-optimized structure of Li2CaBr.

Size of the total moment: 0.000 μB per atom
SG: P2/m (10)
Raw formation energy: -660 meV/atom

a b c (Å): 3.7797 5.7675 5.7981
angles (deg): 119.84 90.00 90.00
With the nearest neighbours (Å) after each atom.
Element x y z (fractional)
Ca  0.5000  0.5000  0.0000  2 Br 2.90
Br  0.5000  0.5000  0.5000  4 Li 2.64, 2 Ca 2.90
Li  0.0000  0.1301  0.3133  2 Br 2.64
Li  0.0000  0.8699  0.6867  2 Br 2.64

=====

# 14
VASP calculation (meta-GGA SCAN) on a PBEsol-optimized structure of Li2CaBr.

Size of the total moment: 0.000 μB per atom
SG: P4mm (99)
Raw formation energy: -634 meV/atom

a b c (Å): 3.8069 3.8069 7.2474
angles (deg): 90.00 90.00 90.00
With the nearest neighbours (Å) after each atom.
Element x y z (fractional)
Ca  0.5000  0.5000  0.7468  4 Br 3.07, 5 Li 3.13-3.39
Br  0.0000  0.0000  0.5445  4 Ca 3.07
Li  0.0000  0.0000  0.0301  4 Li 2.90
Li  0.5000  0.5000  0.1786  4 Li 2.90, 1 Ca 3.13